CdFeAg2 | PBE | optimized geometry

Properties
N(E_F)	0.740	states/eV per atom
E_form	0.2918	eV/atom
symmetry	No. 44

Lattice parameters (Å, degrees): 5.6175 5.6175 5.6175 149.47 128.87 60.73
With the nearest neighbours (Å) after each atom.
Sites, in units of the cell vectors:
Cd1 0.0000 0.0000 0.0000  2 Fe 2.78, 6 Ag 2.85-2.93, 2 Cd 2.96
Fe1 0.7569 0.2569 0.5000  6 Ag 2.73-2.84, 2 Cd 2.78, 2 Fe 2.96
Ag1 0.2611 0.7611 0.5000  4 Fe 2.84, 4 Ag 2.92-2.96, 2 Cd 2.93
Ag2 0.5203 0.5203 0.0000  2 Fe 2.73, 4 Cd 2.85, 4 Ag 2.92-2.96